# 1
## Tl2NiAs (PBE)

Data for Tl2NiAs after structural relaxation.

The structure in POSCAR format:
```
Tl2NiAs
1.0
-3.073 0.694 0.650
0.527 -2.400 2.076
2.462 5.517 5.752
As Ni Tl
1 1 2
Cartesian
-0.658 0.527 2.801 As
0.574 3.285 5.677 Ni
2.377 5.326 5.552 Tl
1.317 2.950 3.076 Tl
```

Computed properties:
distance to the lowest polymorph of the same formula = 478 meV per atom
theoretical density = 10.622 g/cm3
formation energy = 396 meV per atom

***

# 2
## SrGaIN2 (PBE)

Data for SrGaIN2 after structural relaxation.

The structure in POSCAR format:
```
SrGaIN2
1.0
4.984 0.000 0.000
0.000 4.984 0.000
0.000 0.000 6.678
I Sr Ga N
1 1 1 2
Cartesian
0.000 0.000 3.339 I
0.000 0.000 0.000 Sr
2.492 2.492 3.339 Ga
0.000 2.492 0.000 N
2.492 0.000 0.000 N
```

Computed properties:
distance to the lowest polymorph of the same formula = 424 meV per atom
energy relative to the elements, uncorrected = 1.0085 eV per atom
theoretical density = 3.126 g/cm3

***

# 3
## Mn2CrH (PBE)

Data for Mn2CrH after structural relaxation.

The structure in POSCAR format:
```
Mn2CrH
1.0
2.577 0.000 0.000
0.000 2.577 0.000
0.000 0.000 5.478
Cr Mn H
1 2 1
Cartesian
1.288 1.288 2.739 Cr
0.000 0.000 4.414 Mn
0.000 0.000 1.064 Mn
1.288 1.288 0.000 H
```

Computed properties:
distance to the lowest polymorph of the same formula = 287 meV per atom
theoretical density = 7.435 g/cm3

***

# 4
## Tb3Cd2In (PBE)

Data for Tb3Cd2In after structural relaxation.

The structure in POSCAR format:
```
Tb3Cd2In
1.0
3.759 0.000 0.000
0.000 3.759 0.000
0.000 0.000 11.329
Tb Cd In
3 2 1
Cartesian
0.000 0.000 0.000 Tb
0.000 0.000 7.584 Tb
0.000 0.000 3.745 Tb
1.880 1.880 9.477 Cd
1.880 1.880 1.852 Cd
1.880 1.880 5.665 In
```

Computed properties:
distance to the lowest polymorph of the same formula = 4 meV per atom
theoretical density = 8.468 g/cm3
formation energy = -375 meV per atom

***

# 5
## CaLaPmHo (PBE)

Data for CaLaPmHo after structural relaxation.

The structure in POSCAR format:
```
CaLaPmHo
1.0
-5.369 2.275 0.657
-4.485 -3.460 1.532
-2.360 0.454 5.354
Ca La Ho Pm
1 1 1 1
Cartesian
-3.054 -0.183 1.886 Ca
0.000 0.000 0.000 La
-9.161 -0.548 5.657 Ho
-6.107 -0.365 3.771 Pm
```

Computed properties:
theoretical density = 5.681 g/cm3
formation energy = 115 meV per atom

***

# 6
## CrTeHRhAu2 (PBE)

Data for CrTeHRhAu2 after structural relaxation.

The structure in POSCAR format:
```
CrTeHRhAu2
1.0
4.545 -0.110 0.139
-2.297 4.057 0.080
-0.864 -0.592 5.513
Cr Te H Rh Au
1 1 1 1 2
Cartesian
-0.757 3.230 4.668 Cr
2.476 -0.248 1.788 Te
-1.767 2.681 2.820 H
2.463 2.433 1.301 Rh
1.486 1.832 4.021 Au
-0.706 0.567 5.295 Au
```

Computed properties:
distance to the lowest polymorph of the same formula = 0 meV per atom
theoretical density = 11.119 g/cm3

***

theoretical density of number 1 (Tl2NiAs)? 10.622 g/cm3

***

The lowest theoretical density belongs to which entry? SrGaIN2

***

Which formula does entry 5 have? CaLaPmHo

***

What is the formula in the first record? Tl2NiAs